[1]
The following is a DFT calculation (GGA-PBE) of crystalline Ba2CaMo at its relaxed geometry.

For the distance to the lowest polymorph of the same formula, the calculation gives 107 meV per atom. The calculation puts the formation energy at 849 meV per atom.

The structure belongs to space group F-43m (No. 216); the cell edges are 8.457, 8.457 and 8.457 Å and the angles 90.00°, 90.00° and 90.00°. The distinct sites, in fractional coordinates, are Ba at (0.000, 0.000, 0.000), Ba at (0.250, 0.250, 0.250), Ca at (0.250, 0.250, 0.750) and Mo at (0.000, 0.000, 0.500).

=====

[2]
The following is a DFT calculation (GGA-PBE) of crystalline BaCa2Mo at its relaxed geometry.

For the distance to the lowest polymorph of the same formula, the calculation gives 0 meV per atom. The calculation puts the formation energy at 661 meV per atom.

The structure belongs to space group P2/m (No. 10); the cell edges are 3.763, 3.770 and 10.190 Å and the angles 90.00°, 90.06° and 90.00°. The distinct sites, in fractional coordinates, are Ba at (0.000, 0.000, 0.000), Ca at (0.499, 0.500, 0.325) and Mo at (0.000, 0.000, 0.500).

=====

[3]
The following is a DFT calculation (GGA-PBE) of crystalline BaCaMo2 at its relaxed geometry.

For the distance to the lowest polymorph of the same formula, the calculation gives 841 meV per atom. The calculation puts the formation energy at 1363 meV per atom.

The structure belongs to space group R-3m (No. 166, hexagonal axes); the cell edges are 3.0997, 3.0997 and 33.6364 Å and the angles 90.00°, 90.00° and 120.00°. The distinct sites, in fractional coordinates, are Ba at (0.0000, 0.0000, 0.0000), Ca at (0.0000, 0.0000, 0.5000) and Mo at (0.0000, 0.0000, 0.2445).

=====

[4]
The following is a DFT calculation (GGA-PBE) of crystalline BaCaMo4 at its relaxed geometry.

The calculation puts the formation energy at 782 meV per atom.

The structure belongs to space group F-43m (No. 216); the cell edges are 7.975, 7.975 and 7.975 Å and the angles 90.00°, 90.00° and 90.00°. The distinct sites, in fractional coordinates, are Ba at (0.000, 0.000, 0.000), Ca at (0.250, 0.250, 0.750) and Mo at (0.125, 0.125, 0.375).

=====

[5]
The following is a DFT calculation (GGA-PBE) of crystalline Ba2CaMo at its relaxed geometry.

For the distance to the lowest polymorph of the same formula, the calculation gives 109 meV per atom. The calculation puts the formation energy at 851 meV per atom.

The structure belongs to space group Fm-3m (No. 225); the cell edges are 8.503, 8.503 and 8.503 Å and the angles 90.00°, 90.00° and 90.00°. The distinct sites, in fractional coordinates, are Ba at (0.250, 0.250, 0.250), Ca at (0.000, 0.000, 0.000) and Mo at (0.000, 0.000, 0.500).

=====

[6]
The following is a DFT calculation (GGA-PBE) of crystalline BaCaMo2 at its relaxed geometry.

For the distance to the lowest polymorph of the same formula, the calculation gives 158 meV per atom. The calculation puts the formation energy at 680 meV per atom.

The structure belongs to space group Imm2 (No. 44); the cell edges are 3.530, 5.721 and 11.045 Å and the angles 90.00°, 90.00° and 90.00°. The distinct sites, in fractional coordinates, are Ba at (0.000, 0.000, 0.000), Ca at (0.000, 0.500, 0.795), Mo at (0.000, 0.000, 0.579) and Mo at (0.000, 0.500, 0.223).

=====

[7]
The following is a DFT calculation (GGA-PBE) of crystalline BaCaMo2 at its relaxed geometry.

For the distance to the lowest polymorph of the same formula, the calculation gives 326 meV per atom. The calculation puts the formation energy at 848 meV per atom.

The structure belongs to space group C2/m (No. 12); the cell edges are 11.300, 3.757 and 7.140 Å and the angles 90.00°, 119.75° and 90.00°. The distinct sites, in fractional coordinates, are Ba at (0.000, 0.000, 0.000), Ca at (0.000, 0.500, 0.500) and Mo at (0.245, 0.500, 0.391).

=====

[8]
The following is a DFT calculation (GGA-PBE) of crystalline BaCaMo2 at its relaxed geometry.

For the distance to the lowest polymorph of the same formula, the calculation gives 411 meV per atom. The calculation puts the formation energy at 933 meV per atom.

The structure belongs to space group P2/m (No. 10); the cell edges are 3.096, 5.231 and 7.010 Å and the angles 90.00°, 92.98° and 90.00°. The distinct sites, in fractional coordinates, are Ba at (0.000, 0.000, 0.000), Ca at (0.000, 0.000, 0.500) and Mo at (0.379, 0.500, 0.347).